Entry 1:
An optimized crystal structure of Bi2TeOs. Source: Alexandria, functional PBE.

abc: 6.889 6.889 7.780
angles: 63.72 63.72 90.00
Element x y z (fractional)
Bi1 0.059 0.625 0.250
Os1 0.750 0.250 0.500
Os2 0.000 0.000 0.000
Bi2 0.875 0.941 0.750
Bi3 0.691 0.125 0.250
Te1 0.500 0.500 0.000
Te2 0.250 0.750 0.500
Bi4 0.375 0.309 0.750

Values from the calculation:
- Energy relative to the elements, uncorrected: 719 meV per atom
- Total DFT energy (no corrections): -4.814 eV/atom
- SG: No. 122
- Mass density: 8.488 g/cm³

---

Entry 2:
An optimized crystal structure of BiTe2Os. Source: Alexandria, functional PBE.

abc: 9.504 9.504 9.504
angles: 23.59 23.59 23.59
Element x y z (fractional)
Os1 0.500 0.500 0.500
Te1 0.885 0.885 0.885
Bi1 0.000 0.000 0.000
Te2 0.115 0.115 0.115

Values from the calculation:
- Energy relative to the elements, uncorrected: 221 meV per atom
- Total DFT energy (no corrections): -5.128 eV/atom
- SG: No. 166
- Mass density: 8.999 g/cm³

---

Entry 3:
An optimized crystal structure of BiTe2Os. Source: Alexandria, functional PBE.

abc: 7.116 7.116 7.191
angles: 60.34 60.34 90.00
Element x y z (fractional)
Os1 0.250 0.750 0.500
Te1 0.194 0.625 0.250
Te2 0.875 0.806 0.750
Te3 0.556 0.125 0.250
Bi1 0.750 0.250 0.500
Bi2 0.000 0.000 0.000
Os2 0.500 0.500 0.000
Te4 0.375 0.444 0.750

Values from the calculation:
- Energy relative to the elements, uncorrected: 504 meV per atom
- Total DFT energy (no corrections): -4.845 eV/atom
- SG: No. 122
- Mass density: 8.355 g/cm³

---

Entry 4:
An optimized crystal structure of BiTe2Os4. Source: Alexandria, functional PBE.

abc: 5.026 5.026 7.682
angles: 70.90 70.90 90.00
Each line ends with the local moment (μB).
Element x y z (fractional)
Te1 0.384 0.384 0.231  0.01
Te2 0.616 0.616 0.769  0.01
Bi1 0.000 0.000 0.000  -0.03
Os1 0.000 0.500 0.000  0.58
Os2 0.500 0.000 0.000  0.58
Os3 0.799 0.799 0.402  2.07
Os4 0.201 0.201 0.598  2.07

Values from the calculation:
- Energy relative to the elements, uncorrected: 2262 meV per atom
- Total DFT energy (no corrections): -5.607 eV/atom
- SG: No. 139
- Mass density: 11.824 g/cm³